Record 1
Ti4NiRu3: relaxed, PBE.

a b c (Å): 3.0779 4.3348 8.6641
angles (deg): 90.00 90.00 90.00
Last column: nearest neighbours and their distance in Å.
Sites, in units of the cell vectors:
1 Ru 0.5000 0.0000 0.7530  8 Ti 2.64-2.68
2 Ni 0.5000 0.5000 0.0000  8 Ti 2.64-2.66
3 Ti 0.0000 0.5000 0.2474  2 Ni 2.64, 6 Ru 2.66-2.68
4 Ti 0.0000 0.0000 0.0000  4 Ru 2.64, 4 Ni 2.66
5 Ru 0.5000 0.5000 0.5000  8 Ti 2.66-2.68
6 Ru 0.5000 0.0000 0.2470  8 Ti 2.64-2.68
7 Ti 0.0000 0.5000 0.7526  2 Ni 2.64, 6 Ru 2.66-2.68
8 Ti 0.0000 0.0000 0.5000  8 Ru 2.66-2.68

Calculated values
Symmetry = Pmmm, No. 47
DOS at the Fermi energy = 7.0 states/eV/f.u.
VASP energy = -70.3 eV per cell
ΔH_f (0 K) = -0.639 eV/atom



Record 2
UBrO: relaxed, PBE.

a b c (Å): 4.9682 3.8572 3.8572
angles (deg): 120.00 90.00 90.00
Last column: nearest neighbours and their distance in Å.
Sites, in units of the cell vectors:
1 O 0.1676 0.3333 0.6667  3 U 2.23
2 U 0.1651 0.0000 0.0000  3 O 2.23
3 Br 0.6673 0.6667 0.3333  6 U 3.33-3.34, 6 O 3.34

Calculated values
Symmetry = P3m1, No. 156
DOS at the Fermi energy = 5.7 states/eV/f.u.
VASP energy = -24.0 eV per cell



Record 3
Mg5TlCd: relaxed, PBE.

a b c (Å): 4.6505 4.6505 7.9386
angles (deg): 90.00 90.00 90.00
Last column: nearest neighbours and their distance in Å.
Sites, in units of the cell vectors:
1 Mg 0.5000 0.0000 0.7170  2 Cd 2.89, 2 Tl 3.23, 2 Mg 3.23
2 Mg 0.5000 0.5000 0.0000  8 Mg 3.23, 4 Tl 3.29
3 Mg 0.0000 0.5000 0.7170  2 Cd 2.89, 2 Tl 3.23, 2 Mg 3.23
4 Tl 0.0000 0.0000 0.0000  12 Mg 3.23-3.29
5 Mg 0.5000 0.0000 0.2830  2 Cd 2.89, 2 Tl 3.23, 2 Mg 3.23
6 Cd 0.0000 0.0000 0.5000  8 Mg 2.89
7 Mg 0.0000 0.5000 0.2830  2 Cd 2.89, 2 Tl 3.23, 2 Mg 3.23

Calculated values
Symmetry = P4/mmm, No. 123
DOS at the Fermi energy = 3.1 states/eV/f.u.
VASP energy = -11.2 eV per cell
Distance to the lowest polymorph of the same formula = 0 meV per atom
ΔH_f (0 K) = 0.015 eV/atom